Record 1
This record from Alexandria describes crystalline YZr2Cl at its relaxed geometry. The functional is PBE-GGA.

abc: 5.474 5.474 6.013
angles: 66.39 66.39 34.63
Fractional positions:
Y (0.198, 0.198, 0.349)
Cl (0.456, 0.456, 0.386)
Zr (0.811, 0.811, 0.798)
Zr (0.035, 0.035, 0.967)

## Properties
- ΔE_f (raw) (meV per atom) = -338


Record 2
This record from Alexandria describes crystalline YZr2Cl at its relaxed geometry. The functional is PBE-GGA.

abc: 5.904 3.298 5.010
angles: 87.97 90.00 90.00
Fractional positions:
Zr (0.000, 0.066, 0.980)
Zr (0.000, 0.434, 0.520)
Cl (0.500, 0.250, 0.250)
Y (0.500, 0.750, 0.750)

## Properties
- ΔE_f (raw) (meV per atom) = -147


Record 3
This record from Alexandria describes crystalline YZr3Cl at its relaxed geometry. The functional is PBE-GGA.

abc: 5.354 5.354 5.354
angles: 90.00 90.00 90.00
Site moments in Bohr magnetons follow the coordinates.
Fractional positions:
Y (0.000, 0.000, 0.000)  0.04
Zr (0.000, 0.500, 0.000)  0.32
Zr (0.000, 0.000, 0.500)  0.31
Zr (0.500, 0.000, 0.000)  0.37
Cl (0.500, 0.500, 0.500)  0.00

## Properties
- ΔE_f (raw) (meV per atom) = 1436


Record 4
This record from Alexandria describes crystalline YZr2Cl at its relaxed geometry. The functional is PBE-GGA.

abc: 3.301 3.301 9.945
angles: 90.00 90.00 90.01
Fractional positions:
Cl (0.000, 0.000, 0.569)
Y (0.500, 0.500, 0.738)
Zr (0.500, 0.500, 0.198)
Zr (0.000, 0.000, 0.994)

## Properties
- ΔE_f (raw) (meV per atom) = -404


Record 5
This record from Alexandria describes crystalline YZr2Cl at its relaxed geometry. The functional is PBE-GGA.

abc: 4.917 3.345 5.970
angles: 77.28 90.00 90.00
Fractional positions:
Cl (0.000, 0.316, 0.516)
Zr (0.500, 0.441, 0.183)
Zr (0.000, 0.975, 0.133)
Y (0.500, 0.768, 0.668)

## Properties
- ΔE_f (raw) (meV per atom) = -192


Record 6
This record from Alexandria describes crystalline YZr2Cl at its relaxed geometry. The functional is PBE-GGA.

abc: 5.137 5.137 5.137
angles: 60.00 60.00 60.00
Site moments in Bohr magnetons follow the coordinates.
Fractional positions:
Zr (0.750, 0.750, 0.750)  0.35
Zr (0.250, 0.250, 0.250)  0.35
Y (0.500, 0.500, 0.500)  0.42
Cl (0.000, 0.000, 0.000)  0.00

## Properties
- ΔE_f (raw) (meV per atom) = 523


Number 1: total moment 0.00 μB/cell, excess energy over the best structure of this formula in the dataset 116 meV per atom. Number 2: total moment 0.00 μB/cell, excess energy over the best structure of this formula in the dataset 306 meV per atom. Number 3: total moment 1.72 μB/cell, excess energy over the best structure of this formula in the dataset 1609 meV per atom. Number 4: total moment 0.00 μB/cell, excess energy over the best structure of this formula in the dataset 50 meV per atom. Number 5: total moment 0.00 μB/cell, excess energy over the best structure of this formula in the dataset 262 meV per atom. Number 6: total moment 1.71 μB/cell, excess energy over the best structure of this formula in the dataset 977 meV per atom.